# WAuF3 (GGA+U, optimized geometry)
data_WAuF3
_symmetry_space_group_name_H-M 'P m -3 m'
_symmetry_Int_Tables_number 221
_symmetry_space_group_name_Hall '-P 4 2 3'
_cell_length_a 4.4589
_cell_length_b 4.4589
_cell_length_c 4.4589
_cell_angle_alpha 90.00
_cell_angle_beta 90.00
_cell_angle_gamma 90.00
loop_
_atom_site_label
_atom_site_type_symbol
_atom_site_fract_x
_atom_site_fract_y
_atom_site_fract_z
W1 W 0.0000 0.0000 0.0000
Au1 Au 0.5000 0.5000 0.5000
F1 F 0.0000 0.5000 0.5000
# Relative energy among the computed polymorphs, eV/atom: 1.3353